No. 1
First-principles (PBE) data for a relaxed structure of CaZn2RhF, as listed in Alexandria.

Geometry as POSCAR:
```
CaZn2RhF
1.0
5.515 0.000 0.000
0.000 5.515 0.000
0.000 0.000 3.982
Ca Zn Rh F
1 2 1 1
direct
0.000 0.000 0.000
0.000 0.500 0.000
0.500 0.000 0.000
0.500 0.500 0.500
0.000 0.000 0.500
```

Computed properties:
**Crystal system**: tetragonal
**Formation energy (no corrections)**: -1.85 kcal/mol of atoms
**Magnetization**: 0.42 Bohr magnetons per cell
**Energy**: -2.835 eV per atom

No. 2
First-principles (PBE) data for a relaxed structure of CaRuF3, as listed in Alexandria.

Geometry as POSCAR:
```
CaRuF3
1.0
4.413 0.000 0.000
0.000 4.413 0.000
0.000 0.000 4.413
Ca Ru F
1 1 3
direct
0.000 0.000 0.000
0.500 0.500 0.500
0.000 0.000 0.500
0.000 0.500 0.000
0.500 0.000 0.000
```

Computed properties:
**Crystal system**: cubic
**Formation energy (no corrections)**: -41.65 kcal/mol of atoms
**Magnetization**: 3.10 Bohr magnetons per cell
**Energy**: -5.184 eV per atom
**Polymorph energy (0 for the lowest one)**: 0.00 kJ/mol of atoms

No. 3
First-principles (PBE) data for a relaxed structure of CaRuF2, as listed in Alexandria.

Geometry as POSCAR:
```
CaRuF2
1.0
1.637 0.945 8.019
-1.637 0.945 8.019
0.000 -1.890 8.019
Ca Ru F
1 1 2
direct
0.000 0.000 0.000
0.500 0.500 0.500
0.287 0.287 0.287
0.713 0.713 0.713
```

Computed properties:
**Crystal system**: trigonal
**Formation energy (no corrections)**: -39.06 kcal/mol of atoms
**Magnetization**: 2.73 Bohr magnetons per cell
**Energy**: -5.449 eV per atom
**Polymorph energy (0 for the lowest one)**: 0.00 kJ/mol of atoms

No. 4
First-principles (PBE) data for a relaxed structure of CaRu3F, as listed in Alexandria.

Geometry as POSCAR:
```
CaRu3F
1.0
4.332 0.000 0.000
0.000 4.332 0.000
0.000 0.000 4.332
Ca Ru F
1 3 1
direct
0.000 0.000 0.000
0.000 0.500 0.500
0.500 0.000 0.500
0.500 0.500 0.000
0.500 0.500 0.500
```

Computed properties:
**Crystal system**: cubic
**Formation energy (no corrections)**: 17.72 kcal/mol of atoms
**Magnetization**: 0.00 Bohr magnetons per cell
**Energy**: -5.572 eV per atom
**Polymorph energy (0 for the lowest one)**: 0.00 kJ/mol of atoms

No. 5
First-principles (PBE) data for a relaxed structure of CaRuF3, as listed in Alexandria.

Geometry as POSCAR:
```
CaRuF3
1.0
4.290 0.000 0.000
0.000 4.290 0.000
0.000 0.000 4.290
Ca Ru F
1 1 3
direct
0.000 0.000 0.000
0.500 0.500 0.500
0.000 0.500 0.500
0.500 0.000 0.500
0.500 0.500 0.000
```

Computed properties:
**Crystal system**: cubic
**Formation energy (no corrections)**: -35.39 kcal/mol of atoms
**Magnetization**: 0.68 Bohr magnetons per cell
**Energy**: -4.913 eV per atom
**Polymorph energy (0 for the lowest one)**: 26.18 kJ/mol of atoms

No. 6
First-principles (PBE) data for a relaxed structure of CaRuF2, as listed in Alexandria.

Geometry as POSCAR:
```
CaRuF2
1.0
-2.763 2.763 5.107
2.763 -2.763 5.107
2.763 2.763 -5.107
Ca Ru F
2 2 4
direct
0.000 0.000 0.000
0.750 0.250 0.500
0.250 0.750 0.500
0.500 0.500 0.000
0.068 0.625 0.943
0.375 0.318 0.443
0.682 0.125 0.057
0.875 0.932 0.557
```

Computed properties:
**Crystal system**: tetragonal
**Formation energy (no corrections)**: -30.36 kcal/mol of atoms
**Magnetization**: 5.07 Bohr magnetons per cell
**Energy**: -5.072 eV per atom
**Polymorph energy (0 for the lowest one)**: 36.40 kJ/mol of atoms

No. 7
First-principles (PBE) data for a relaxed structure of CaRuF2, as listed in Alexandria.

Geometry as POSCAR:
```
CaRuF2
1.0
0.000 3.066 3.066
3.066 0.000 3.066
3.066 3.066 0.000
Ca Ru F
1 1 2
direct
0.000 0.000 0.000
0.500 0.500 0.500
0.250 0.250 0.250
0.750 0.750 0.750
```

Computed properties:
**Crystal system**: cubic
**Formation energy (no corrections)**: -27.55 kcal/mol of atoms
**Magnetization**: 2.30 Bohr magnetons per cell
**Energy**: -4.950 eV per atom
**Polymorph energy (0 for the lowest one)**: 48.17 kJ/mol of atoms

No. 8
First-principles (PBE) data for a relaxed structure of CaRuF6, as listed in Alexandria.

Geometry as POSCAR:
```
CaRuF6
1.0
5.280 0.000 0.000
-2.640 4.573 0.000
0.000 0.000 5.044
Ca Ru F
1 1 6
direct
0.000 0.000 0.000
0.667 0.333 0.500
0.366 0.038 0.729
0.366 0.328 0.271
0.672 0.038 0.271
0.672 0.634 0.729
0.962 0.328 0.729
0.962 0.634 0.271
```

Computed properties:
**Crystal system**: trigonal
**Formation energy (no corrections)**: -58.89 kcal/mol of atoms
**Magnetization**: 2.00 Bohr magnetons per cell
**Energy**: -5.367 eV per atom

No. 9
First-principles (PBE) data for a relaxed structure of CaRuF2, as listed in Alexandria.

Geometry as POSCAR:
```
CaRuF2
1.0
1.773 1.024 6.057
-1.773 1.024 6.057
0.000 -2.047 6.057
Ca Ru F
1 1 2
direct
0.000 0.000 0.000
0.500 0.500 0.500
0.383 0.383 0.383
0.617 0.617 0.617
```

Computed properties:
**Crystal system**: trigonal
**Formation energy (no corrections)**: -38.57 kcal/mol of atoms
**Magnetization**: 0.60 Bohr magnetons per cell
**Energy**: -5.428 eV per atom
**Polymorph energy (0 for the lowest one)**: 2.06 kJ/mol of atoms

No. 10
First-principles (PBE) data for a relaxed structure of CaRu3F, as listed in Alexandria.

Geometry as POSCAR:
```
CaRu3F
1.0
4.889 0.000 0.000
0.000 4.889 0.000
0.000 0.000 4.889
Ca Ru F
1 3 1
direct
0.000 0.000 0.000
0.000 0.000 0.500
0.000 0.500 0.000
0.500 0.000 0.000
0.500 0.500 0.500
```

Computed properties:
**Crystal system**: cubic
**Formation energy (no corrections)**: 52.32 kcal/mol of atoms
**Magnetization**: 6.71 Bohr magnetons per cell
**Energy**: -4.071 eV per atom
**Polymorph energy (0 for the lowest one)**: 144.77 kJ/mol of atoms

No. 11
First-principles (PBE) data for a relaxed structure of CaSF2, as listed in Alexandria.

Geometry as POSCAR:
```
CaSF2
1.0
-3.163 3.163 5.348
3.163 -3.163 5.348
3.163 3.163 -5.348
Ca S F
2 2 4
direct
0.000 0.000 0.000
0.750 0.250 0.500
0.250 0.750 0.500
0.500 0.500 0.000
0.375 0.217 0.342
0.783 0.125 0.158
0.875 0.033 0.658
0.967 0.625 0.842
```

Computed properties:
**Crystal system**: tetragonal
**Formation energy (no corrections)**: -47.28 kcal/mol of atoms
**Magnetization**: 4.00 Bohr magnetons per cell
**Energy**: -4.518 eV per atom
**Polymorph energy (0 for the lowest one)**: 17.14 kJ/mol of atoms

No. 12
First-principles (PBE) data for a relaxed structure of CaSF3, as listed in Alexandria.

Geometry as POSCAR:
```
CaSF3
1.0
4.425 0.000 0.000
0.000 4.425 0.000
0.000 0.000 4.425
Ca S F
1 1 3
direct
0.000 0.000 0.000
0.500 0.500 0.500
0.000 0.500 0.500
0.500 0.000 0.500
0.500 0.500 0.000
```

Computed properties:
**Crystal system**: cubic
**Formation energy (no corrections)**: -32.57 kcal/mol of atoms
**Magnetization**: 0.00 Bohr magnetons per cell
**Energy**: -3.761 eV per atom
**Polymorph energy (0 for the lowest one)**: 55.55 kJ/mol of atoms